Entry 1:
First-principles (PBE) data for crystalline Sr2PdSeN at its relaxed geometry, as listed in Alexandria.

- calculated density (g/cm3) = 5.5
- formation energy without anion corrections (eV per atom) = -1.030

a = 5.3817 Å, b = 5.3817 Å, c = 3.9285 Å
α = 90.00°, β = 90.00°, γ = 90.00°
Space group P4/mmm (No. 123)
Unique sites:
Sr 0.0000 0.5000 0.0000 [2 per cell]
Pd 0.0000 0.0000 0.5000 [1 per cell]
Se 0.5000 0.5000 0.5000 [1 per cell]
N 0.0000 0.0000 0.0000 [1 per cell]



Entry 2:
First-principles (PBE) data for crystalline TaPdSe2N at its relaxed geometry, as listed in Alexandria.

- distance to the lowest polymorph of the same formula (meV per atom) = 0
- calculated density (g/cm3) = 7.5
- formation energy without anion corrections (eV per atom) = 0.194

a = 5.1381 Å, b = 5.1381 Å, c = 3.8583 Å
α = 90.00°, β = 90.00°, γ = 90.00°
Space group P4/mmm (No. 123)
Unique sites:
Ta 0.0000 0.0000 0.0000 [1 per cell]
Pd 0.5000 0.5000 0.5000 [1 per cell]
Se 0.0000 0.5000 0.0000 [2 per cell]
N 0.0000 0.0000 0.5000 [1 per cell]



Entry 3:
First-principles (PBE) data for crystalline TaPdSeN2 at its relaxed geometry, as listed in Alexandria.

- distance to the lowest polymorph of the same formula (meV per atom) = 0
- calculated density (g/cm3) = 7.6
- formation energy without anion corrections (eV per atom) = 0.335

a = 3.9507 Å, b = 3.9507 Å, c = 5.4956 Å
α = 90.00°, β = 90.00°, γ = 90.00°
Space group P4/mmm (No. 123)
Unique sites:
Ta 0.0000 0.0000 0.0000 [1 per cell]
Pd 0.5000 0.5000 0.5000 [1 per cell]
Se 0.0000 0.0000 0.5000 [1 per cell]
N 0.0000 0.5000 0.0000 [2 per cell]



Entry 4:
First-principles (PBE) data for crystalline TaPdSe2N at its relaxed geometry, as listed in Alexandria.

- distance to the lowest polymorph of the same formula (meV per atom) = 795
- calculated density (g/cm3) = 8.1
- formation energy without anion corrections (eV per atom) = 0.989

a = 5.0827 Å, b = 5.0827 Å, c = 3.6602 Å
α = 90.00°, β = 90.00°, γ = 90.00°
Space group P4/mmm (No. 123)
Unique sites:
Ta 0.0000 0.0000 0.0000 [1 per cell]
Pd 0.5000 0.5000 0.5000 [1 per cell]
Se 0.0000 0.5000 0.5000 [2 per cell]
N 0.5000 0.5000 0.0000 [1 per cell]



Entry 5:
First-principles (PBE) data for crystalline TaPdSeN2 at its relaxed geometry, as listed in Alexandria.

- distance to the lowest polymorph of the same formula (meV per atom) = 1241
- calculated density (g/cm3) = 8.7
- formation energy without anion corrections (eV per atom) = 1.576

a = 3.9567 Å, b = 3.9567 Å, c = 4.7818 Å
α = 90.00°, β = 90.00°, γ = 90.00°
Space group P4/mmm (No. 123)
Unique sites:
Ta 0.0000 0.0000 0.0000 [1 per cell]
Pd 0.5000 0.5000 0.5000 [1 per cell]
Se 0.5000 0.5000 0.0000 [1 per cell]
N 0.0000 0.5000 0.5000 [2 per cell]



Entry 6:
First-principles (PBE) data for crystalline TePdSe2N at its relaxed geometry, as listed in Alexandria.

- distance to the lowest polymorph of the same formula (meV per atom) = 430
- calculated density (g/cm3) = 6.0
- formation energy without anion corrections (eV per atom) = 1.131

a = 5.3855 Å, b = 5.3855 Å, c = 3.8636 Å
α = 90.00°, β = 90.00°, γ = 90.00°
Space group P4/mmm (No. 123)
Unique sites:
Te 0.0000 0.0000 0.0000 [1 per cell]
Pd 0.5000 0.5000 0.5000 [1 per cell]
Se 0.0000 0.5000 0.0000 [2 per cell]
N 0.0000 0.0000 0.5000 [1 per cell]



Q: What is the calculated density in the third record?
A: 7.6 g/cm3



Q: The highest calculated density belongs to which entry?
A: number 5



Q: The highest formation energy without anion corrections belongs to which entry?
A: number 5



Please write out number 3 again, unchanged.
First-principles (PBE) data for crystalline TaPdSeN2 at its relaxed geometry, as listed in Alexandria.

- distance to the lowest polymorph of the same formula (meV per atom) = 0
- calculated density (g/cm3) = 7.6
- formation energy without anion corrections (eV per atom) = 0.335

a = 3.9507 Å, b = 3.9507 Å, c = 5.4956 Å
α = 90.00°, β = 90.00°, γ = 90.00°
Space group P4/mmm (No. 123)
Unique sites:
Ta 0.0000 0.0000 0.0000 [1 per cell]
Pd 0.5000 0.5000 0.5000 [1 per cell]
Se 0.0000 0.0000 0.5000 [1 per cell]
N 0.0000 0.5000 0.0000 [2 per cell]